# 1
Density functional theory data (PBE-GGA) for crystalline SiTcRuC at its relaxed geometry.

Properties
The value obtained for the total DFT energy (no corrections) is -8.514 eV per atom. For the volume, the calculation gives 98.39 Å³/cell. For the energy relative to the elements, uncorrected, the calculation gives 5.6 kJ/mol of atoms. The value obtained for the offset from the most stable computed form is 82 meV per atom.

Cell lengths 7.271, 2.832, 4.907 Å; angles 90.00, 103.09, 90.00 degrees
Fractional coordinates of all 8 atoms:
Ru  0.680  0.000  0.729
Ru  0.680  0.500  0.229
Si  0.016  0.500  0.341
Si  0.016  0.000  0.841
Tc  0.286  0.000  0.598
Tc  0.286  0.500  0.098
C  0.493  0.000  0.333
C  0.493  0.500  0.833

---

# 2
Density functional theory data (PBE-GGA) for crystalline Sc3Pb at its relaxed geometry.

Properties
The value obtained for the total DFT energy (no corrections) is -5.823 eV per atom. For the volume, the calculation gives 97.55 Å³/cell. Its energy of formation from the pure elements is -0.147 eV/atom.

Cell lengths 5.564, 5.564, 3.342 Å; angles 90.00, 90.00, 109.45 degrees
Fractional coordinates of all 4 atoms:
Sc  0.500  0.000  0.500
Sc  0.500  0.500  0.000
Sc  0.000  0.500  0.500
Pb  0.000  0.000  0.000

---

# 3
Density functional theory data (PBE-GGA) for crystalline PrSn2Ru at its relaxed geometry.

Properties
The value obtained for the total DFT energy (no corrections) is -5.830 eV per atom. For the volume, the calculation gives 88.87 Å³/cell. Its energy of formation from the pure elements is -0.315 eV/atom.

Cell lengths 3.369, 3.369, 7.830 Å; angles 90.00, 90.00, 90.00 degrees
Fractional coordinates of all 4 atoms:
Pr  0.500  0.500  0.500
Sn  0.000  0.000  0.200
Sn  0.000  0.000  0.800
Ru  0.500  0.500  0.000

---

# 4
Density functional theory data (PBE-GGA) for crystalline TbSc3Hg6 at its relaxed geometry.

Properties
The value obtained for the total DFT energy (no corrections) is -2.914 eV per atom. For the volume, the calculation gives 455.76 Å³/cell. Its energy of formation from the pure elements is -0.370 eV/atom.

Cell lengths 4.994, 8.851, 10.741 Å; angles 106.28, 90.00, 90.00 degrees
Fractional coordinates of all 20 atoms:
Hg  0.750  0.742  0.476
Hg  0.250  0.633  0.708
Hg  0.250  0.464  0.096
Hg  0.750  0.855  0.789
Hg  0.250  0.145  0.211
Hg  0.250  0.821  0.305
Hg  0.750  0.536  0.904
Hg  0.750  0.934  0.088
Hg  0.750  0.367  0.292
Hg  0.750  0.179  0.695
Hg  0.250  0.258  0.524
Hg  0.250  0.066  0.912
Sc  0.250  0.352  0.809
Sc  0.750  0.482  0.608
Sc  0.250  0.518  0.392
Sc  0.750  0.238  0.004
Sc  0.250  0.762  0.996
Sc  0.750  0.648  0.191
Tb  0.250  0.936  0.615
Tb  0.750  0.064  0.385